The following is a DFT calculation (PBE-GGA) of a relaxed structure of Mg2InTcH.

## Properties
**Total magnetization**: 0.00 Bohr magnetons per cell
**Electronic total energy**: -0.2846 Ry/atom

Geometry as CIF:
```
data_Mg2InTcH
_chemical_formula_sum 'Mg2 In1 Tc1 H1'
_symmetry_space_group_name_H-M 'P 4/m m m'
_symmetry_Int_Tables_number 123
_symmetry_space_group_name_Hall '-P 4 2'
_cell_length_a 4.507
_cell_length_b 4.507
_cell_length_c 3.684
_cell_angle_alpha 90.00
_cell_angle_beta 90.00
_cell_angle_gamma 90.00
loop_
_atom_site_label
_atom_site_type_symbol
_atom_site_fract_x
_atom_site_fract_y
_atom_site_fract_z
Mg1 Mg 0.000 0.500 0.000
In1 In 0.000 0.000 0.500
Tc1 Tc 0.500 0.500 0.500
H1 H 0.500 0.500 0.000
```

The following is a DFT calculation (PBE-GGA) of a relaxed structure of SiAgSb2.

## Properties
**Formation energy without anion corrections**: 417 meV per atom
**Total magnetization**: 0.00 Bohr magnetons per cell

Geometry as CIF:
```
data_SiAgSb2
_chemical_formula_sum 'Si2 Ag2 Sb4'
_symmetry_space_group_name_H-M 'I -4 m 2'
_symmetry_Int_Tables_number 119
_symmetry_space_group_name_Hall 'I -4 -2'
_cell_length_a 4.189
_cell_length_b 4.189
_cell_length_c 10.366
_cell_angle_alpha 90.00
_cell_angle_beta 90.00
_cell_angle_gamma 90.00
loop_
_atom_site_label
_atom_site_type_symbol
_atom_site_fract_x
_atom_site_fract_y
_atom_site_fract_z
Si1 Si 0.000 0.000 0.000
Ag1 Ag 0.000 0.500 0.750
Sb1 Sb 0.000 0.000 0.500
Sb2 Sb 0.000 0.500 0.250
```

The following is a DFT calculation (PBE-GGA) of a relaxed structure of La2SmGe4Pt3.

## Properties
**Formation energy from the elements**: -0.933 eV per atom
**Total magnetization**: 0.00 Bohr magnetons per cell

Geometry as CIF:
```
data_La2SmGe4Pt3
_chemical_formula_sum 'La2 Sm1 Ge4 Pt3'
_symmetry_space_group_name_H-M 'P -4 m 2'
_symmetry_Int_Tables_number 115
_cell_length_a 4.385
_cell_length_b 4.385
_cell_length_c 11.333
_cell_angle_alpha 90.00
_cell_angle_beta 90.00
_cell_angle_gamma 90.00
loop_
_symmetry_equiv_pos_as_xyz
'x,y,z'
'y,-x,-z'
'-x,-y,z'
'-y,x,-z'
'-x,y,z'
'-y,-x,-z'
'x,-y,z'
'y,x,-z'
loop_
_atom_site_label
_atom_site_type_symbol
_atom_site_fract_x
_atom_site_fract_y
_atom_site_fract_z
La1 La 0.000 0.500 0.228
Sm1 Sm 0.000 0.000 0.500
Ge1 Ge 0.000 0.000 0.000
Ge2 Ge 0.000 0.500 0.666
Ge3 Ge 0.500 0.500 0.000
Pt1 Pt 0.000 0.500 0.886
Pt2 Pt 0.500 0.500 0.500
```

The following is a DFT calculation (PBE-GGA) of a relaxed structure of MnV3P2.

## Properties
**Formation energy from the elements**: -0.475 eV per atom
**Total magnetization**: 0.02 Bohr magnetons per cell

Geometry as CIF:
```
data_MnV3P2
_chemical_formula_sum 'Mn4 V12 P8'
_symmetry_space_group_name_H-M 'I b a m'
_symmetry_Int_Tables_number 72
_symmetry_space_group_name_Hall '-I 2 2c'
_cell_length_a 5.035
_cell_length_b 10.270
_cell_length_c 6.158
_cell_angle_alpha 90.00
_cell_angle_beta 90.00
_cell_angle_gamma 90.00
loop_
_atom_site_label
_atom_site_type_symbol
_atom_site_fract_x
_atom_site_fract_y
_atom_site_fract_z
Mn1 Mn 0.000 0.000 0.000
V1 V 0.000 0.185 0.250
V2 V 0.000 0.500 0.250
P1 P 0.149 0.345 0.000
```

The following is a DFT calculation (PBE-GGA) of a relaxed structure of ThMgPd.

## Properties
**Formation energy from the elements**: -0.562 eV per atom
**Total magnetization**: 0.00 Bohr magnetons per cell

Geometry as CIF:
```
data_ThMgPd
_chemical_formula_sum 'Th6 Mg6 Pd6'
_symmetry_space_group_name_H-M 'P 1 21/m 1'
_symmetry_Int_Tables_number 11
_cell_length_a 7.379
_cell_length_b 4.389
_cell_length_c 12.799
_cell_angle_alpha 90.00
_cell_angle_beta 91.22
_cell_angle_gamma 90.00
loop_
_symmetry_equiv_pos_as_xyz
'x,y,z'
'-x,-y,-z'
'-x,y+1/2,-z'
'x,-y+1/2,z'
loop_
_atom_site_label
_atom_site_type_symbol
_atom_site_fract_x
_atom_site_fract_y
_atom_site_fract_z
Th1 Th 0.039 0.250 0.285
Th2 Th 0.346 0.750 0.915
Th3 Th 0.461 0.750 0.623
Mg1 Mg 0.002 0.750 0.082
Mg2 Mg 0.134 0.250 0.539
Mg3 Mg 0.367 0.750 0.201
Pd1 Pd 0.248 0.250 0.086
Pd2 Pd 0.249 0.250 0.753
Pd3 Pd 0.252 0.750 0.417
```

Question: total magnetization of number 3 (La2SmGe4Pt3)?
Answer: 0.00 Bohr magnetons per cell

Question: What is the total magnetization in the fourth record?
Answer: 0.02 Bohr magnetons per cell

Question: The highest total magnetization belongs to which entry?
Answer: MnV3P2